Record 1
Here is NdDyTi after structural relaxation from Alexandria. Energies are from PBE-GGA.

abc: 3.5893 3.5893 13.0180
angles: 90.00 90.00 90.00
Space group P4/nmm (No. 129, origin choice 2)
One atom of each set of equivalent atoms:
Nd1 0.2500 0.2500 0.1001
Dy1 0.2500 0.2500 0.6929
Ti1 0.2500 0.2500 0.4578

Values from the calculation:
**Magnetization**: 0.00 μB/f.u.
**Uncorrected energy**: -5.6606 eV per atom
**V**: 167.7 Å³/cell
**E_form**: 9.1 kJ per mole of atoms

Record 2
Here is NbAlTc2Ru after structural relaxation from Alexandria. Energies are from PBE-GGA.

abc: 4.3609 4.3609 4.6232
angles: 90.00 90.00 90.00
Space group P4/mmm (No. 123)
One atom of each set of equivalent atoms:
Nb1 0.0000 0.0000 0.0000
Al1 0.0000 0.0000 0.5000
Tc1 0.0000 0.5000 0.5000
Ru1 0.5000 0.5000 0.0000

Values from the calculation:
**Magnetization**: 0.00 μB/f.u.
**Uncorrected energy**: -7.3687 eV per atom
**V**: 87.9 Å³/cell
**E_form**: 134.6 kJ per mole of atoms

Record 3
Here is GaFeRu2C after structural relaxation from Alexandria. Energies are from PBE-GGA.

abc: 4.0541 4.0541 3.7498
angles: 90.00 90.00 90.00
Space group P4/mmm (No. 123)
One atom of each set of equivalent atoms:
Ga1 0.0000 0.0000 0.0000
Fe1 0.5000 0.5000 0.0000
Ru1 0.0000 0.5000 0.5000
C1 0.5000 0.5000 0.5000

Values from the calculation:
**Magnetization**: 1.36 μB/f.u.
**Uncorrected energy**: -7.8451 eV per atom
**V**: 61.6 Å³/cell
**E_form**: 0.8 kJ per mole of atoms

Record 4
Here is NdDyHo after structural relaxation from Alexandria. Energies are from PBE-GGA.

abc: 3.5848 3.5848 15.1944
angles: 90.00 90.00 90.00
Space group I4mm (No. 107)
One atom of each set of equivalent atoms:
Nd1 0.0000 0.0000 0.0000
Dy1 0.0000 0.0000 0.3311
Ho1 0.0000 0.0000 0.6682

Values from the calculation:
**Magnetization**: 0.00 μB/f.u.
**Uncorrected energy**: -4.6275 eV per atom
**Polymorph energy (0 for the lowest one)**: 0.176 kcal/mol of atoms
**V**: 195.3 Å³/cell
**E_form**: 2.1 kJ per mole of atoms

Record 5
Here is SrCaSc after structural relaxation from Alexandria. Energies are from PBE-GGA.

abc: 5.9694 5.9694 3.5968
angles: 90.00 90.00 120.00
Space group P3m1 (No. 156)
One atom of each set of equivalent atoms:
Sr1 0.0000 0.0000 0.0000
Ca1 0.6667 0.3333 0.3493
Sc1 0.3333 0.6667 0.6776

Values from the calculation:
**Magnetization**: 0.00 μB/f.u.
**Uncorrected energy**: -3.0479 eV per atom
**Polymorph energy (0 for the lowest one)**: 1.050 kcal/mol of atoms
**V**: 111.0 Å³/cell
**E_form**: 28.0 kJ per mole of atoms

Record 6
Here is Nd2Y4Te3N2 after structural relaxation from Alexandria. Energies are from PBE-GGA.

abc: 4.6212 4.6212 25.9384
angles: 90.00 90.00 90.00
Space group I4/mmm (No. 139)
One atom of each set of equivalent atoms:
Nd1 0.0000 0.0000 0.1962
Y1 0.0000 0.5000 0.0854
Te1 0.0000 0.0000 0.3245
Te2 0.0000 0.0000 0.5000
N1 0.0000 0.0000 0.1007

Values from the calculation:
**Magnetization**: 0.00 μB/f.u.
**Uncorrected energy**: -6.7902 eV per atom
**V**: 553.9 Å³/cell
**Formation energy without anion corrections**: -1.2023 eV/atom

Record 7
Here is TlN4Cl after structural relaxation from Alexandria. Energies are from PBE-GGA.

abc: 6.1237 21.2448 5.8897
angles: 90.00 90.45 90.00
Space group C2/c (No. 15)
One atom of each set of equivalent atoms:
Tl1 0.0000 0.2048 0.2500
N1 0.2384 0.3626 0.4043
N2 0.2415 0.0545 0.0911
Cl1 0.0000 0.2595 0.7500

Values from the calculation:
**Magnetization**: 12.00 μB/f.u.
**Uncorrected energy**: -3.1047 eV per atom
**V**: 766.2 Å³/cell
**Formation energy without anion corrections**: 3.1477 eV/atom

Record 8
Here is TlCr2Cd after structural relaxation from Alexandria. Energies are from PBE-GGA.

abc: 6.8762 6.8762 6.8762
angles: 90.00 90.00 90.00
Space group F-43m (No. 216)
One atom of each set of equivalent atoms:
Tl1 0.0000 0.0000 0.0000
Cr1 0.0000 0.0000 0.5000
Cr2 0.2500 0.2500 0.2500
Cd1 0.2500 0.2500 0.7500

Values from the calculation:
**Magnetization**: 8.66 μB/f.u.
**Uncorrected energy**: -4.9136 eV per atom
**V**: 325.1 Å³/cell
**E_form**: 69.3 kJ per mole of atoms

Record 9
Here is Y2AgRu after structural relaxation from Alexandria. Energies are from PBE-GGA.

abc: 7.3829 3.4552 7.7970
angles: 90.00 100.29 90.00
Space group C2/m (No. 12)
One atom of each set of equivalent atoms:
Y1 0.2452 0.0000 0.2104
Ag1 0.0000 0.0000 0.5000
Ru1 0.0000 0.5000 0.0000

Values from the calculation:
**Magnetization**: 0.00 μB/f.u.
**Uncorrected energy**: -6.3871 eV per atom
**V**: 195.7 Å³/cell
**E_form**: -11.9 kJ per mole of atoms

Record 10
Here is MgZn2Co2 after structural relaxation from Alexandria. Energies are from PBE-GGA.

abc: 7.0264 7.0264 2.7923
angles: 90.00 90.00 90.00
Space group P4/mbm (No. 127)
One atom of each set of equivalent atoms:
Mg1 0.0000 0.0000 0.0000
Zn1 0.1758 0.3242 0.5000
Co1 0.1178 0.6178 0.0000

Values from the calculation:
**Magnetization**: 1.42 μB/f.u.
**Uncorrected energy**: -3.6224 eV per atom
**Polymorph energy (0 for the lowest one)**: 0.000 kcal/mol of atoms
**V**: 137.9 Å³/cell
**E_form**: 4.7 kJ per mole of atoms

Record 11
Here is V13Zn2 after structural relaxation from Alexandria. Energies are from PBE-GGA.

abc: 6.7179 6.7179 18.7424
angles: 90.00 90.00 120.00
Space group R-3m (No. 166, hexagonal axes)
One atom of each set of equivalent atoms:
V1 0.0000 0.0000 0.0000
V2 0.0738 0.5369 0.2929
V3 0.0796 0.5398 0.4216
Zn1 0.0000 0.0000 0.1334

Values from the calculation:
**Magnetization**: 0.00 μB/f.u.
**Uncorrected energy**: -7.4159 eV per atom
**V**: 732.5 Å³/cell
**E_form**: 63.4 kJ per mole of atoms

Record 12
Here is TcSbPb2 after structural relaxation from Alexandria. Energies are from PBE-GGA.

abc: 3.3618 3.3618 31.1078
angles: 90.00 90.00 120.00
Space group R3m (No. 160, hexagonal axes)
One atom of each set of equivalent atoms:
Tc1 0.0000 0.0000 0.0000
Sb1 0.0000 0.0000 0.2744
Pb1 0.0000 0.0000 0.5060
Pb2 0.0000 0.0000 0.7378

Values from the calculation:
**Magnetization**: 0.00 μB/f.u.
**Uncorrected energy**: -5.2718 eV per atom
**V**: 304.5 Å³/cell
**Formation energy without anion corrections**: 0.2045 eV/atom